(1)
# In2Sn2Pb3, optimized geometry, DFT GGA-PBE
data_In2Sn2Pb3
_chemical_formula_sum 'In4 Sn4 Pb6'
_symmetry_space_group_name_H-M 'C 1 2/m 1'
_symmetry_Int_Tables_number 12
_symmetry_space_group_name_Hall '-C 2y'
_cell_length_a 11.4305
_cell_length_b 4.5905
_cell_length_c 7.9413
_cell_angle_alpha 90.00
_cell_angle_beta 100.36
_cell_angle_gamma 90.00
loop_
_atom_site_label
_atom_site_type_symbol
_atom_site_fract_x
_atom_site_fract_y
_atom_site_fract_z
In1 In 0.0627 0.0000 0.2072
Sn1 Sn 0.1419 0.5000 0.9360
Pb1 Pb 0.0000 0.5000 0.5000
Pb2 Pb 0.2204 0.0000 0.6565
# Calculated formation energy ... 0.18 eV per formula unit
# Calculated total energy ... -3.490 eV per atom
# Calculated density ... 8.82 g cm⁻³
# D(E_F) ... 0.484 states/eV per atom


(2)
# CeDyMgPa, optimized geometry, DFT GGA-PBE
data_CeDyMgPa
_chemical_formula_sum 'Ce4 Dy4 Mg4 Pa4'
_symmetry_space_group_name_H-M 'F -4 3 m'
_symmetry_Int_Tables_number 216
_symmetry_space_group_name_Hall 'F -4 2 3'
_cell_length_a 7.5674
_cell_length_b 7.5674
_cell_length_c 7.5674
_cell_angle_alpha 90.00
_cell_angle_beta 90.00
_cell_angle_gamma 90.00
loop_
_atom_site_label
_atom_site_type_symbol
_atom_site_fract_x
_atom_site_fract_y
_atom_site_fract_z
Ce1 Ce 0.0000 0.0000 0.0000
Dy1 Dy 0.0000 0.0000 0.5000
Mg1 Mg 0.2500 0.2500 0.2500
Pa1 Pa 0.2500 0.2500 0.7500
# Calculated formation energy ... 1.25 eV per formula unit
# Calculated total energy ... -5.094 eV per atom
# Calculated density ... 8.55 g cm⁻³
# D(E_F) ... 2.638 states/eV per atom


(3)
# KNi2Cl, optimized geometry, DFT GGA-PBE
data_KNi2Cl
_chemical_formula_sum 'K2 Ni4 Cl2'
_symmetry_space_group_name_H-M 'I m m m'
_symmetry_Int_Tables_number 71
_symmetry_space_group_name_Hall '-I 2 2'
_cell_length_a 2.9681
_cell_length_b 4.6917
_cell_length_c 10.9310
_cell_angle_alpha 90.00
_cell_angle_beta 90.00
_cell_angle_gamma 90.00
loop_
_atom_site_label
_atom_site_type_symbol
_atom_site_fract_x
_atom_site_fract_y
_atom_site_fract_z
K1 K 0.0000 0.0000 0.0000
Ni1 Ni 0.0000 0.5000 0.2200
Cl1 Cl 0.0000 0.0000 0.5000
# Calculated total energy ... -3.300 eV per atom
# Calculated density ... 4.19 g cm⁻³
# D(E_F) ... 2.007 states/eV per atom


(4)
# AsOs, optimized geometry, DFT GGA-PBE
data_AsOs
_chemical_formula_sum 'As6 Os6'
_symmetry_space_group_name_H-M 'R -3 m'
_symmetry_Int_Tables_number 166
_symmetry_space_group_name_Hall '-R 3 2"'
_cell_length_a 4.1808
_cell_length_b 4.1808
_cell_length_c 13.6682
_cell_angle_alpha 90.00
_cell_angle_beta 90.00
_cell_angle_gamma 120.00
loop_
_atom_site_label
_atom_site_type_symbol
_atom_site_fract_x
_atom_site_fract_y
_atom_site_fract_z
As1 As 0.0000 0.0000 0.1106
Os1 Os 0.0000 0.0000 0.2975
# Calculated formation energy ... 0.81 eV per formula unit
# Calculated total energy ... -7.532 eV per atom
# Calculated density ... 12.77 g cm⁻³
# D(E_F) ... 0.770 states/eV per atom


(5)
# Dy2PuTlO8, optimized geometry, DFT GGA-PBE
data_Dy2PuTlO8
_chemical_formula_sum 'Dy2 Pu1 Tl1 O8'
_symmetry_space_group_name_H-M 'P 1 2/m 1'
_symmetry_Int_Tables_number 10
_symmetry_space_group_name_Hall '-P 2y'
_cell_length_a 5.0098
_cell_length_b 7.1804
_cell_length_c 5.0126
_cell_angle_alpha 90.00
_cell_angle_beta 93.17
_cell_angle_gamma 90.00
loop_
_atom_site_label
_atom_site_type_symbol
_atom_site_fract_x
_atom_site_fract_y
_atom_site_fract_z
Dy1 Dy 0.0000 0.2493 0.0000
Pu1 Pu 0.5000 0.5000 0.5000
Tl1 Tl 0.5000 0.0000 0.5000
O1 O 0.2001 0.0000 0.2010
O2 O 0.2059 0.5000 0.2079
O3 O 0.3119 0.2933 0.6895
# Calculated total energy ... -7.945 eV per atom
# Calculated density ... 8.31 g cm⁻³